A relaxed structure of NaHoCl4. Source: Alexandria, functional PBE.

Summary:
Its volume is 28.9 Å³ per atom. As for the electronic total energy: -4.320 eV per atom.

Cell: 6.5622 7.0781 8.7779 Å, 111.31 109.32 96.10°
Last column: nearest neighbours and their distance in Å.
Positions (direct):
Na1 0.4283 0.6783 0.3565  4 Cl 2.75-2.90
Na2 0.5717 0.3217 0.6435  4 Cl 2.75-2.90
Ho1 0.8322 0.0822 0.1644  6 Cl 2.57-2.75
Ho2 0.1678 0.9178 0.8356  6 Cl 2.57-2.75
Cl1 0.2860 0.9765 0.6020  1 Ho 2.57, 1 Na 2.75
Cl2 0.0834 0.8208 0.0891  2 Ho 2.66-2.75
Cl3 0.1841 0.3745 0.3980  1 Ho 2.57, 1 Na 2.75
Cl4 0.4943 0.7317 0.9109  2 Ho 2.66-2.75
Cl5 0.7140 0.0235 0.3980  1 Ho 2.57, 1 Na 2.75
Cl6 0.8159 0.6255 0.6020  1 Ho 2.57, 1 Na 2.75
Cl7 0.9166 0.1792 0.9109  2 Ho 2.66-2.75
Cl8 0.5057 0.2683 0.0891  2 Ho 2.66-2.75